No. 1
Entry from Alexandria via LeMat-Bulk: a relaxed structure of Rb2AgBiPd (GGA-PBE).

Geometry as POSCAR:
```
Rb2AgBiPd
1.0
6.568 0.000 0.000
0.000 6.568 0.000
0.000 0.000 5.130
Rb Ag Bi Pd
2 1 1 1
Cartesian
0.000 3.284 0.000
3.284 0.000 0.000
0.000 0.000 2.565
3.284 3.284 2.565
3.284 3.284 0.000
```

## Properties
- Volume: 44.3 Å³ per atom
- Energy of formation: 7 kJ per mole of atoms

***

No. 2
Entry from Alexandria via LeMat-Bulk: a relaxed structure of AgBiPdRh (GGA-PBE).

Geometry as POSCAR:
```
AgBiPdRh
1.0
0.000 3.308 3.308
3.308 0.000 3.308
3.308 3.308 0.000
Ag Bi Pd Rh
1 1 1 1
Cartesian
0.000 0.000 0.000
3.308 3.308 3.308
1.654 1.654 1.654
4.962 4.962 4.962
```

## Properties
- Volume: 18.1 Å³ per atom
- Energy of formation: -4 kJ per mole of atoms

***

No. 3
Entry from Alexandria via LeMat-Bulk: a relaxed structure of AgBiSbPd (GGA-PBE).

Geometry as POSCAR:
```
AgBiSbPd
1.0
0.000 3.542 3.542
3.542 0.000 3.542
3.542 3.542 0.000
Ag Bi Sb Pd
1 1 1 1
Cartesian
0.000 0.000 0.000
5.313 5.313 5.313
1.771 1.771 1.771
3.542 3.542 3.542
```

## Properties
- Formation energy from raw total energies: -0.15 eV/f.u.
- Volume: 22.2 Å³ per atom

***

No. 4
Entry from Alexandria via LeMat-Bulk: a relaxed structure of ScAgBiPd (GGA-PBE).

Geometry as POSCAR:
```
ScAgBiPd
1.0
0.000 3.449 3.449
3.449 0.000 3.449
3.449 3.449 0.000
Sc Ag Bi Pd
1 1 1 1
Cartesian
0.000 0.000 0.000
5.174 5.174 5.174
3.449 3.449 3.449
1.725 1.725 1.725
```

## Properties
- Volume: 20.5 Å³ per atom
- Energy of formation: -37 kJ per mole of atoms

***

No. 5
Entry from Alexandria via LeMat-Bulk: a relaxed structure of AgBi2PdSe (GGA-PBE).

Geometry as POSCAR:
```
AgBi2PdSe
1.0
5.274 0.000 0.000
0.000 5.274 0.000
0.000 0.000 5.138
Ag Bi Pd Se
1 2 1 1
Cartesian
0.000 0.000 0.000
0.000 2.637 2.569
2.637 0.000 2.569
0.000 0.000 2.569
2.637 2.637 0.000
```

## Properties
- Formation energy from raw total energies: 1.56 eV/f.u.
- Volume: 28.6 Å³ per atom

***

No. 6
Entry from Alexandria via LeMat-Bulk: a relaxed structure of SmAgBiPd (GGA-PBE).

Geometry as POSCAR:
```
SmAgBiPd
1.0
0.000 3.571 3.571
3.571 0.000 3.571
3.571 3.571 0.000
Sm Ag Bi Pd
1 1 1 1
Cartesian
0.000 0.000 0.000
1.785 1.785 1.785
3.571 3.571 3.571
5.356 5.356 5.356
```

## Properties
- Volume: 22.8 Å³ per atom
- Energy of formation: -48 kJ per mole of atoms